Entry 1:
Crystalline Ca2Al2Sn2O9 at its relaxed geometry, computed with PBE.

Results
- spin magnetization (μB per formula unit) = 0.00
- formation energy from raw total energies (eV/atom) = -2.538

Geometry as CIF:
```
data_Ca2Al2Sn2O9
_chemical_formula_sum 'Ca8 Al8 Sn8 O36'
_space_group_name_H-M_alt 'P b c n'
_space_group_IT_number 60
_space_group_name_Hall '-P 2n 2ab'
_cell_length_a 9.0972
_cell_length_b 5.5628
_cell_length_c 15.1263
_cell_angle_alpha 90.00
_cell_angle_beta 90.00
_cell_angle_gamma 90.00
loop_
_atom_site_label
_atom_site_fract_x
_atom_site_fract_y
_atom_site_fract_z
_atom_site_occupancy
Ca1 0.0675 0.1365 0.1463 1
Al1 0.1571 0.3105 0.5288 1
Sn1 0.1549 0.3667 0.8344 1
O1 0.0000 0.4700 0.2500 1
O2 0.0127 0.2262 0.9248 1
O3 0.1605 0.3083 0.4101 1
O4 0.1675 0.0354 0.7726 1
O5 0.2263 0.4181 0.0714 1
```

---

Entry 2:
Crystalline Ac8CoAg2 at its relaxed geometry, computed with PBE.

Results
- spin magnetization (μB per formula unit) = 0.00
- DFT formation energy (eV per formula unit) = -0.859

Geometry as CIF:
```
data_Ac8CoAg2
_chemical_formula_sum 'Ac16 Co2 Ag4'
_space_group_name_H-M_alt 'C 1 2/m 1'
_space_group_IT_number 12
_space_group_name_Hall '-C 2y'
_cell_length_a 20.1388
_cell_length_b 4.1676
_cell_length_c 9.8801
_cell_angle_alpha 90.00
_cell_angle_beta 93.84
_cell_angle_gamma 90.00
loop_
_atom_site_label
_atom_site_fract_x
_atom_site_fract_y
_atom_site_fract_z
_atom_site_occupancy
Ac1 0.0069 0.0000 0.1986 1
Ac2 0.0924 0.5000 0.5136 1
Ac3 0.1483 0.5000 0.0017 1
Ac4 0.2238 0.0000 0.3329 1
Co1 0.0000 0.5000 0.0000 1
Ag1 0.1617 0.0000 0.7430 1
```

---

Entry 3:
Crystalline FeNiMo2 at its relaxed geometry, computed with PBE.

Results
- E above lowest polymorph (meV/atom) = 0.0
- spin magnetization (μB per formula unit) = 0.00
- DFT formation energy (eV per formula unit) = 0.206

Geometry as CIF:
```
data_FeNiMo2
_chemical_formula_sum 'Fe1 Ni1 Mo2'
_space_group_name_H-M_alt 'P 4/m m m'
_space_group_IT_number 123
_space_group_name_Hall '-P 4 2'
_cell_length_a 3.7641
_cell_length_b 3.7641
_cell_length_c 3.7150
_cell_angle_alpha 90.00
_cell_angle_beta 90.00
_cell_angle_gamma 90.00
loop_
_atom_site_label
_atom_site_fract_x
_atom_site_fract_y
_atom_site_fract_z
_atom_site_occupancy
Fe1 0.0000 0.0000 0.0000 1
Ni1 0.5000 0.5000 0.0000 1
Mo1 0.0000 0.5000 0.5000 1
```

---

Entry 4:
Crystalline ZnRuBr2 at its relaxed geometry, computed with PBE.

Results
- E above lowest polymorph (meV/atom) = 56.7
- spin magnetization (μB per formula unit) = 0.00
- formation energy from raw total energies (eV/atom) = 0.010

Geometry as CIF:
```
data_ZnRuBr2
_chemical_formula_sum 'Zn2 Ru2 Br4'
_space_group_name_H-M_alt 'I m m m'
_space_group_IT_number 71
_space_group_name_Hall '-I 2 2'
_cell_length_a 3.2424
_cell_length_b 4.1977
_cell_length_c 14.6662
_cell_angle_alpha 90.00
_cell_angle_beta 90.00
_cell_angle_gamma 90.00
loop_
_atom_site_label
_atom_site_fract_x
_atom_site_fract_y
_atom_site_fract_z
_atom_site_occupancy
Zn1 0.0000 0.0000 0.0000 1
Ru1 0.0000 0.0000 0.5000 1
Br1 0.0000 0.5000 0.1368 1
```

---

Entry 5:
Crystalline TaCoBi2Cl at its relaxed geometry, computed with PBE.

Results
- spin magnetization (μB per formula unit) = 0.00
- formation energy from raw total energies (eV/atom) = 0.742

Geometry as CIF:
```
data_TaCoBi2Cl
_chemical_formula_sum 'Ta1 Co1 Bi2 Cl1'
_space_group_name_H-M_alt 'P 4/m m m'
_space_group_IT_number 123
_space_group_name_Hall '-P 4 2'
_cell_length_a 5.2163
_cell_length_b 5.2163
_cell_length_c 4.6400
_cell_angle_alpha 90.00
_cell_angle_beta 90.00
_cell_angle_gamma 90.00
loop_
_atom_site_label
_atom_site_fract_x
_atom_site_fract_y
_atom_site_fract_z
_atom_site_occupancy
Ta1 0.0000 0.0000 0.0000 1
Co1 0.0000 0.0000 0.5000 1
Bi1 0.0000 0.5000 0.5000 1
Cl1 0.5000 0.5000 0.0000 1
```

---

Entry 6:
Crystalline LaV2CrH at its relaxed geometry, computed with PBE.

Results
- spin magnetization (μB per formula unit) = 0.29
- E_tot (eV per atom) = -4.7973

Geometry as CIF:
```
data_LaV2CrH
_chemical_formula_sum 'La1 V2 Cr1 H1'
_space_group_name_H-M_alt 'P 4/m m m'
_space_group_IT_number 123
_space_group_name_Hall '-P 4 2'
_cell_length_a 4.6559
_cell_length_b 4.6559
_cell_length_c 4.6076
_cell_angle_alpha 90.00
_cell_angle_beta 90.00
_cell_angle_gamma 90.00
loop_
_atom_site_label
_atom_site_fract_x
_atom_site_fract_y
_atom_site_fract_z
_atom_site_occupancy
La1 0.0000 0.0000 0.0000 1
V1 0.0000 0.5000 0.0000 1
Cr1 0.0000 0.0000 0.5000 1
H1 0.5000 0.5000 0.5000 1
```